1.
Rb2MgHgP | PBE-GGA | relaxed

Formation energy from the elements: -0.1805 eV/atom

Cell: 6.8271 6.8271 4.8249 Å, 90.00 90.00 90.00°
Last column: nearest neighbours and their distance in Å.
Space group P4/mmm (No. 123)
Symmetry-distinct sites (fractional):
Rb (0.0000, 0.5000, 0.0000) x2  2 P 3.41
Mg (0.0000, 0.0000, 0.5000) x1  2 P 2.41
Hg (0.5000, 0.5000, 0.5000) x1  8 Rb 4.18
P (0.0000, 0.0000, 0.0000) x1  2 Mg 2.41

---

2.
CrSbP3 | PBE-GGA | relaxed

E_form (uncorrected): 0.4642 eV/atom

Cell: 4.5330 4.5330 4.5330 Å, 90.00 90.00 90.00°
Last column: nearest neighbours and their distance in Å.
Space group Pm-3m (No. 221)
Symmetry-distinct sites (fractional):
Cr (0.0000, 0.0000, 0.0000) x1  6 P 2.27
Sb (0.5000, 0.5000, 0.5000) x1  12 P 3.21
P (0.0000, 0.0000, 0.5000) x3  2 Cr 2.27

---

3.
RbTlHg2 | PBE-GGA | relaxed

Formation energy from the elements: -0.1217 eV/atom

Cell: 8.1185 8.1185 8.1185 Å, 90.00 90.00 90.00°
Last column: nearest neighbours and their distance in Å.
Space group Fm-3m (No. 225)
Symmetry-distinct sites (fractional):
Rb (0.0000, 0.0000, 0.0000) x4  8 Hg 3.52
Tl (0.0000, 0.0000, 0.5000) x4  8 Hg 3.52
Hg (0.2500, 0.2500, 0.2500) x8  4 Rb 3.52, 4 Tl 3.52

---

4.
Ti3AuC | PBE-GGA | relaxed

Formation energy from the elements: 0.4209 eV/atom

Cell: 7.8022 7.8022 5.0641 Å, 90.00 90.00 120.00°
Last column: nearest neighbours and their distance in Å.
Space group R3m (No. 160, hexagonal axes)
Symmetry-distinct sites (fractional):
Ti (0.1990, 0.3980, 0.0000) x9  1 C 1.94
Au (0.0000, 0.0000, 0.8722) x3  1 C 2.04
C (0.0000, 0.0000, 0.4695) x3  3 Ti 1.94, 1 Au 2.04

---

5.
Ba2Ni2Pb | PBE-GGA | relaxed

Formation energy from the elements: -0.0274 eV/atom

Cell: 7.8047 7.8047 4.5871 Å, 90.00 90.00 90.00°
Last column: nearest neighbours and their distance in Å.
Space group P4/mbm (No. 127)
Symmetry-distinct sites (fractional):
Ba (0.1830, 0.3170, 0.0000) x4  6 Ni 3.26-3.27
Ni (0.1066, 0.6066, 0.5000) x4  1 Ni 2.35
Pb (0.0000, 0.0000, 0.5000) x2  4 Ni 3.18

---

6.
RbAsSeBr2 | PBE-GGA | relaxed

E_form (uncorrected): -0.6601 eV/atom

Cell: 5.6207 5.6207 5.0079 Å, 90.00 90.00 90.00°
Last column: nearest neighbours and their distance in Å.
Space group P4/mmm (No. 123)
Symmetry-distinct sites (fractional):
Rb (0.0000, 0.0000, 0.0000) x1  8 Br 3.76, 4 Se 3.97
As (0.5000, 0.5000, 0.5000) x1  2 Se 2.50
Se (0.5000, 0.5000, 0.0000) x1  2 As 2.50
Br (0.0000, 0.5000, 0.5000) x2  2 As 2.81

---

7.
CoPbC3 | PBE-GGA | relaxed

Formation energy from the elements: 2.0687 eV/atom

Cell: 3.9218 3.9218 3.9218 Å, 90.00 90.00 90.00°
Last column: nearest neighbours and their distance in Å.
Space group Pm-3m (No. 221)
Symmetry-distinct sites (fractional):
Co (0.0000, 0.0000, 0.0000) x1  6 C 1.96
Pb (0.5000, 0.5000, 0.5000) x1  12 C 2.77
C (0.0000, 0.0000, 0.5000) x3  2 Co 1.96

---

8.
CaB3O10 | PBE-GGA | relaxed

E_form (uncorrected): -1.4965 eV/atom

Cell: 5.7671 6.0770 10.0856 Å, 74.52 77.45 88.83°
Last column: nearest neighbours and their distance in Å.
Space group P-1 (No. 2)
Symmetry-distinct sites (fractional):
Ca (0.1704, 0.2089, 0.0920) x2  8 O 2.38-2.61
B (0.1338, 0.5064, 0.6497) x2  3 O 1.37-1.42
B (0.1364, 0.6983, 0.1319) x2  4 O 1.44-1.54
B (0.2830, 0.1645, 0.7847) x2  4 O 1.43-1.54
O (0.0304, 0.0857, 0.4505) x2  1 O 1.23
O (0.0523, 0.1434, 0.8818) x2  2 B 1.44-1.46
O (0.0529, 0.4801, 0.2354) x2  2 B 1.42-1.47
O (0.1875, 0.6834, 0.5288) x2  1 B 1.37
O (0.2117, 0.6319, 0.9921) x2  1 O 1.53, 1 B 1.54
O (0.2749, 0.3211, 0.6515) x2  2 B 1.37-1.43
O (0.3153, 0.8351, 0.1628) x2  1 O 1.46, 1 B 1.47
O (0.3372, 0.9252, 0.7651) x2  1 O 1.42, 1 B 1.54
O (0.4129, 0.7810, 0.8823) x2  2 O 1.42-1.53
O (0.4403, 0.2392, 0.8665) x2  1 O 1.46, 1 B 1.50

---

9.
Zr3TlSb | PBE-GGA | relaxed

E_form (uncorrected): 0.5723 eV/atom

Cell: 5.2991 5.2991 5.2991 Å, 90.00 90.00 90.00°
Last column: nearest neighbours and their distance in Å.
Space group Pm-3m (No. 221)
Symmetry-distinct sites (fractional):
Zr (0.0000, 0.0000, 0.5000) x3  2 Sb 2.65
Tl (0.5000, 0.5000, 0.5000) x1  12 Zr 3.75
Sb (0.0000, 0.0000, 0.0000) x1  6 Zr 2.65

---

10.
HfTa3V | PBE-GGA | relaxed

Formation energy from the elements: 0.9194 eV/atom

Cell: 4.6755 4.6755 4.6755 Å, 90.00 90.00 90.00°
Last column: nearest neighbours and their distance in Å.
Space group Pm-3m (No. 221)
Symmetry-distinct sites (fractional):
Hf (0.0000, 0.0000, 0.0000) x1  12 Ta 3.31
Ta (0.0000, 0.5000, 0.5000) x3  2 V 2.34
V (0.5000, 0.5000, 0.5000) x1  6 Ta 2.34

---

11.
PrEuCdPb | PBE-GGA | relaxed

Formation energy from the elements: -0.4498 eV/atom

Cell: 7.8778 7.8778 7.8778 Å, 90.00 90.00 90.00°
Last column: nearest neighbours and their distance in Å.
Space group F-43m (No. 216)
Symmetry-distinct sites (fractional):
Pr (0.0000, 0.0000, 0.0000) x4  4 Pb 3.41, 4 Cd 3.41
Eu (0.0000, 0.0000, 0.5000) x4  4 Cd 3.41, 4 Pb 3.41
Cd (0.2500, 0.2500, 0.7500) x4  4 Pr 3.41, 4 Eu 3.41
Pb (0.2500, 0.2500, 0.2500) x4  4 Pr 3.41, 4 Eu 3.41

---

12.
Li2ScZn2Au2 | PBE-GGA | relaxed

Formation energy from the elements: -0.4801 eV/atom

Cell: 7.8020 4.4766 7.3831 Å, 90.00 110.50 90.00°
Last column: nearest neighbours and their distance in Å.
Space group C2/m (No. 12)
Symmetry-distinct sites (fractional):
Li (0.1413, 0.0000, 0.4235) x4  1 Au 2.59, 3 Li 2.80-2.81, 3 Zn 2.86-2.87
Sc (0.0000, 0.0000, 0.0000) x2  2 Li 2.93, 6 Au 2.94-2.95, 6 Zn 3.10-3.12
Zn (0.0836, 0.5000, 0.7523) x4  3 Au 2.61, 3 Li 2.86-2.87
Au (0.2335, 0.5000, 0.2017) x4  1 Li 2.59, 3 Zn 2.61